The following is a DFT calculation (PBE-GGA) of a relaxed structure of IrRh3O.

Summary:
E above lowest polymorph, meV/atom: 0.0
E_form (uncorrected), eV per formula unit: 2.11
Volume, Å³ per cell: 68

Lattice parameters (Å, degrees): 4.0874 4.0874 4.0874 90.00 90.00 90.00
Last column: nearest neighbours and their distance in Å.
Atoms (fractional coordinates):
Ir 0.5000 0.5000 0.5000  12 Rh 2.89
Rh 0.0000 0.5000 0.0000  2 O 2.04
Rh 0.0000 0.0000 0.5000  2 O 2.04
Rh 0.5000 0.0000 0.0000  2 O 2.04
O 0.0000 0.0000 0.0000  6 Rh 2.04